{"formula": "Fe2SO", "functional": "PBE+U", "state": "relaxed", "cell": [[0.0000, 2.9108, 2.9108], [2.9108, 0.0000, 2.9108], [2.9108, 2.9108, 0.0000]], "species": ["S", "Fe", "Fe", "O"], "frac_coords": [[0.5000, 0.5000, 0.5000], [0.2500, 0.2500, 0.2500], [0.7500, 0.7500, 0.7500], [0.0000, 0.0000, 0.0000]], "energy_ev_per_atom": -5.183, "crystal_system": "cubic", "spacegroup": "Fm-3m (225)"}